Entry 1:
InCuTcTe2Se | PBE | optimized geometry

Its uncorrected energy is -53.77 eV for the cell shown.

Cell: 7.617 7.617 9.733 Å, 90.00 90.00 150.88°
Site moments in Bohr magnetons follow the coordinates.
Sites, in units of the cell vectors:
Te1 0.132 0.868 0.047  0.01
Te2 0.132 0.868 0.453  0.00
Te3 0.868 0.132 0.547  0.00
Te4 0.868 0.132 0.953  0.01
Se1 0.427 0.573 0.250  0.00
Se2 0.573 0.427 0.750  0.00
Cu1 0.976 0.024 0.750  0.02
Cu2 0.024 0.976 0.250  0.02
In1 0.762 0.238 0.250  0.01
In2 0.238 0.762 0.750  0.01
Tc1 0.500 0.500 0.500  0.94
Tc2 0.500 0.500 0.000  0.94



Entry 2:
Y4Nb2Ni3C3 | PBE | optimized geometry

Its uncorrected energy is -187.44 eV for the cell shown.

Cell: 5.818 5.818 13.972 Å, 101.87 101.87 60.18°
Sites, in units of the cell vectors:
Y1 0.968 0.122 0.383
Y2 0.632 0.815 0.400
Y3 0.185 0.368 0.100
Y4 0.815 0.632 0.900
Y5 0.032 0.878 0.617
Y6 0.878 0.032 0.117
Y7 0.368 0.185 0.600
Y8 0.122 0.968 0.883
C1 0.500 0.000 0.000
C2 0.344 0.796 0.501
C3 0.000 0.500 0.500
C4 0.204 0.656 0.999
C5 0.656 0.204 0.499
C6 0.796 0.344 0.001
Ni1 0.095 0.428 0.750
Ni2 0.572 0.905 0.750
Ni3 0.428 0.095 0.250
Ni4 0.559 0.441 0.750
Ni5 0.441 0.559 0.250
Ni6 0.905 0.572 0.250
Nb1 0.477 0.293 0.918
Nb2 0.707 0.523 0.582
Nb3 0.293 0.477 0.418
Nb4 0.523 0.707 0.082



Entry 3:
BaCoP2Os | PBE | optimized geometry

Its uncorrected energy is -34.94 eV for the cell shown.

Cell: 6.896 6.896 6.896 Å, 147.21 147.21 47.06°
Sites, in units of the cell vectors:
P1 0.654 0.654 0.000
P2 0.346 0.346 0.000
Ba1 0.000 0.000 0.000
Os1 0.750 0.250 0.500
Co1 0.250 0.750 0.500



Entry 4:
KBeCd | PBE | optimized geometry

The distance to the lowest polymorph of the same formula is 0.0 kJ per mole of atoms.

Cell: 9.315 9.315 9.315 Å, 153.01 153.01 38.54°
Sites, in units of the cell vectors:
Be1 0.058 0.058 0.000
Be2 0.942 0.942 0.000
K1 0.400 0.400 0.000
K2 0.600 0.600 0.000
Cd1 0.202 0.202 0.000
Cd2 0.798 0.798 0.000



Entry 5:
PrTmIn | PBE | optimized geometry

The distance to the lowest polymorph of the same formula is 0.0 kJ per mole of atoms.

Cell: 5.248 5.248 5.248 Å, 60.00 60.00 60.00°
Sites, in units of the cell vectors:
Pr1 0.250 0.250 0.250
In1 0.000 0.000 0.000
Tm1 0.750 0.750 0.750



Entry 6:
YLu2In3Pt2 | PBE | optimized geometry

Its uncorrected energy is -42.93 eV for the cell shown.

Cell: 3.584 7.682 7.682 Å, 120.24 90.00 90.00°
Sites, in units of the cell vectors:
Pt1 0.500 0.669 0.328
Pt2 0.500 0.328 0.669
Lu1 0.000 0.422 0.000
Lu2 0.000 0.000 0.422
Y1 0.000 0.580 0.580
In1 0.500 0.002 0.769
In2 0.500 0.769 0.002
In3 0.500 0.230 0.230